Entry 1:
The following is a GGA-PBE calculation of Mg3Rh2Pb after structural relaxation, from Alexandria.

Output
**ΔH_f (0 K)**: -360 meV per atom
**M_tot**: 0.000 μB/cell
**Space-group type**: No. 123

```
6
Lattice="-0.118 -2.561 -1.987 -0.883 -1.888 2.486 -10.108 2.046 -2.038" Properties=species:S:1:pos:R:3 pbc="T T T"
Mg 0.000 0.000 0.000
Mg -7.291 1.476 -1.470
Mg -2.817 0.570 -0.568
Rh -9.128 -0.478 -1.490
Rh -1.981 -1.925 -0.049
Pb -5.555 -1.202 -0.770
```

=====

Entry 2:
The following is a GGA-PBE calculation of Mg2RhPb after structural relaxation, from Alexandria.

Output
**ΔH_f (0 K)**: -148 meV per atom
**M_tot**: 0.000 μB/cell
**Space-group type**: No. 166

```
4
Lattice="9.596 0.056 0.033 9.037 3.229 0.033 9.037 1.593 2.809" Properties=species:S:1:pos:R:3 pbc="T T T"
Mg 0.465 0.082 0.048
Mg 13.370 2.357 1.389
Pb 6.917 1.220 0.719
Rh 20.752 3.659 2.156
```

=====

Entry 3:
The following is a GGA-PBE calculation of MgRh4Pb after structural relaxation, from Alexandria.

Output
**ΔH_f (0 K)**: -21 meV per atom
**M_tot**: 0.002 μB/cell
**Space-group type**: No. 216

```
6
Lattice="0.000 3.722 3.722 3.722 0.000 3.722 3.722 3.722 0.000" Properties=species:S:1:pos:R:3 pbc="T T T"
Mg 5.583 5.583 5.583
Rh 2.792 4.652 4.652
Rh 4.652 4.652 2.792
Rh 4.652 2.792 4.652
Rh 2.792 2.792 2.792
Pb 0.000 0.000 0.000
```

=====

Entry 4:
The following is a GGA-PBE calculation of Mg2Rh2Pb after structural relaxation, from Alexandria.

Output
**ΔH_f (0 K)**: -45 meV per atom
**M_tot**: 0.000 μB/cell
**Space-group type**: No. 139

```
5
Lattice="4.036 0.000 0.000 0.000 4.036 0.000 2.018 2.018 5.994" Properties=species:S:1:pos:R:3 pbc="T T T"
Pb 0.000 0.000 0.000
Mg 4.036 2.018 2.997
Mg 2.018 4.036 2.997
Rh 2.018 2.018 1.282
Rh 4.036 4.036 4.712
```

=====

Entry 5:
The following is a GGA-PBE calculation of MgRhPb2 after structural relaxation, from Alexandria.

Output
**ΔH_f (0 K)**: 64 meV per atom
**M_tot**: 0.000 μB/cell
**Space-group type**: No. 12

```
4
Lattice="7.792 0.037 0.075 -2.956 3.746 0.012 1.881 1.489 3.048" Properties=species:S:1:pos:R:3 pbc="T T T"
Mg 2.418 1.891 0.043
Pb 0.000 0.000 0.000
Pb 4.837 0.763 1.562
Rh -0.537 2.617 1.530
```

=====

Entry 6:
The following is a GGA-PBE calculation of MgRhPb after structural relaxation, from Alexandria.

Output
**ΔH_f (0 K)**: -221 meV per atom
**M_tot**: 0.000 μB/cell
**E above lowest polymorph**: 0.036 eV per atom
**Space-group type**: No. 216

```
3
Lattice="-1.537 2.772 3.227 -0.649 -1.556 4.197 2.743 1.314 3.348" Properties=species:S:1:pos:R:3 pbc="T T T"
Pb 0.279 1.264 5.386
Mg 0.000 0.000 0.000
Rh 0.139 0.632 2.693
```

=====

- Among the records above, which one has the highest ΔH_f (0 K)?
  MgRhPb2